[1]
Crystalline LiIO3 at its relaxed geometry, computed with PBE.

Cell lengths 6.542, 6.542, 4.158 Å; angles 90.00, 90.00, 113.73 degrees
Fractional coordinates of all 10 atoms:
Li 0.000 0.000 0.000
Li 0.000 0.000 0.500
I 0.227 0.773 0.750
I 0.773 0.227 0.250
O 0.074 0.296 0.250
O 0.196 0.804 0.250
O 0.296 0.074 0.750
O 0.704 0.926 0.250
O 0.804 0.196 0.750
O 0.926 0.704 0.750

Output
Raw formation energy   -0.62 eV per atom
SG   No. 63
Total energy   -4.287 eV per atom

***

[2]
Crystalline Be2TlAg at its relaxed geometry, computed with PBE.

Cell lengths 4.595, 4.595, 4.595 Å; angles 126.12, 126.12, 79.69 degrees
Fractional coordinates of all 4 atoms:
Be 0.250 0.750 0.500
Be 0.750 0.250 0.500
Tl 0.000 0.000 0.000
Ag 0.500 0.500 0.000

Output
Excess energy over the best structure of this formula in the dataset   0.2119 eV per atom
Energy relative to the elements   0.60 eV per atom
SG   No. 139
Total energy   -2.564 eV per atom